First-principles (PBE-GGA) data for FeSnSN2 after structural relaxation, as listed in Alexandria.

The structure in CIF format:
```
data_FeSnSN2
_chemical_formula_sum 'Fe1 Sn1 S1 N2'
_space_group_name_H-M_alt 'P 1'
_space_group_IT_number 1
_cell_length_a 4.024
_cell_length_b 4.024
_cell_length_c 5.343
_cell_angle_alpha 90.00
_cell_angle_beta 90.00
_cell_angle_gamma 90.00
loop_
_space_group_symop_operation_xyz
'x,y,z'
loop_
_atom_site_label
_atom_site_type_symbol
_atom_site_fract_x
_atom_site_fract_y
_atom_site_fract_z
S1 S 0.000 0.000 0.500
N1 N 0.000 0.500 0.000
N2 N 0.500 0.000 0.000
Sn1 Sn 0.000 0.000 0.000
Fe1 Fe 0.500 0.500 0.500
```

Results
energy relative to the lowest polymorph listed for this composition = 17.57 kcal/mol of atoms
DOS(E_F) = 5.4 states/eV/cell
energy relative to the elements, uncorrected = 1.450 eV/atom